Below is a geometry-optimized PrSbPd3 structure, with properties calculated at the PBE level.

Lattice parameters (Å, degrees): 4.244 4.244 11.750 90.00 90.00 90.00
Space group I4mm (No. 107)
One atom of each set of equivalent atoms:
Pr: 0.000 0.000 0.000 (multiplicity 2)
Sb: 0.000 0.000 0.359 (multiplicity 2)
Pd: 0.000 0.000 0.578 (multiplicity 2)
Pd: 0.000 0.500 0.227 (multiplicity 4)

Output
raw formation energy: -686 meV/atom
magnetic moment: 0.00 Bohr magnetons per cell
distance to the lowest polymorph of the same formula: 0.000 eV per atom
E_tot: -55.82 eV per cell


Below is a geometry-optimized Pr2SbPd6 structure, with properties calculated at the PBE level.

Lattice parameters (Å, degrees): 10.037 5.891 6.301 90.00 103.18 90.00
Space group C2/m (No. 12)
One atom of each set of equivalent atoms:
Pr: 0.141 0.000 0.329 (multiplicity 4)
Sb: 0.000 0.500 0.500 (multiplicity 2)
Pd: 0.128 0.500 0.184 (multiplicity 4)
Pd: 0.134 0.235 0.823 (multiplicity 8)

Output
raw formation energy: -727 meV/atom
magnetic moment: 0.00 Bohr magnetons per cell
distance to the lowest polymorph of the same formula: 0.018 eV per atom
E_tot: -102.76 eV per cell


Below is a geometry-optimized Pr2SbPd3 structure, with properties calculated at the PBE level.

Lattice parameters (Å, degrees): 7.827 9.033 16.218 90.00 90.00 90.00
Space group Fmmm (No. 69)
One atom of each set of equivalent atoms:
Pr: 0.240 0.000 0.000 (multiplicity 8)
Pr: 0.250 0.250 0.250 (multiplicity 8)
Sb: 0.000 0.000 0.337 (multiplicity 8)
Pd: 0.000 0.000 0.173 (multiplicity 8)
Pd: 0.000 0.248 0.082 (multiplicity 16)

Output
raw formation energy: -810 meV/atom
magnetic moment: 0.00 Bohr magnetons per cell
distance to the lowest polymorph of the same formula: 0.044 eV per atom
E_tot: -272.94 eV per cell


Below is a geometry-optimized PrSbPd3 structure, with properties calculated at the PBE level.

Lattice parameters (Å, degrees): 5.319 5.319 17.955 90.00 90.00 90.00
Space group I-4m2 (No. 119)
One atom of each set of equivalent atoms:
Pr: 0.000 0.000 0.123 (multiplicity 4)
Sb: 0.000 0.000 0.500 (multiplicity 2)
Sb: 0.000 0.500 0.750 (multiplicity 2)
Pd: 0.000 0.246 0.626 (multiplicity 8)
Pd: 0.000 0.500 0.032 (multiplicity 4)

Output
raw formation energy: -435 meV/atom
magnetic moment: 0.00 Bohr magnetons per cell
distance to the lowest polymorph of the same formula: 0.251 eV per atom
E_tot: -106.63 eV per cell


Below is a geometry-optimized PrSbPd structure, with properties calculated at the PBE level.

Lattice parameters (Å, degrees): 4.6396 4.6396 7.9722 90.00 90.00 120.00
Space group P6_3mc (No. 186)
One atom of each set of equivalent atoms:
Pr: 0.0000 0.0000 0.0000 (multiplicity 2)
Sb: 0.3333 0.6667 0.2349 (multiplicity 2)
Pd: 0.3333 0.6667 0.7950 (multiplicity 2)

Output
raw formation energy: -1075 meV/atom
magnetic moment: 0.00 Bohr magnetons per cell
E_tot: -34.64 eV per cell


Below is a geometry-optimized Pr3Sb4Pd3 structure, with properties calculated at the PBE level.

Lattice parameters (Å, degrees): 10.000 10.000 10.000 90.00 90.00 90.00
Space group I-43d (No. 220)
One atom of each set of equivalent atoms:
Pr: 0.000 0.250 0.875 (multiplicity 12)
Sb: 0.080 0.420 0.580 (multiplicity 16)
Pd: 0.000 0.250 0.375 (multiplicity 12)

Output
raw formation energy: -965 meV/atom
magnetic moment: 0.00 Bohr magnetons per cell
E_tot: -224.23 eV per cell


Below is a geometry-optimized PrSb2Pd7 structure, with properties calculated at the PBE level.

Lattice parameters (Å, degrees): 4.245 4.245 21.630 90.00 90.00 90.00
Space group I4/mmm (No. 139)
One atom of each set of equivalent atoms:
Pr: 0.000 0.000 0.000 (multiplicity 2)
Sb: 0.000 0.000 0.327 (multiplicity 4)
Pd: 0.000 0.000 0.500 (multiplicity 2)
Pd: 0.000 0.500 0.098 (multiplicity 8)
Pd: 0.000 0.500 0.250 (multiplicity 4)

Output
raw formation energy: -530 meV/atom
magnetic moment: 0.00 Bohr magnetons per cell
distance to the lowest polymorph of the same formula: 0.000 eV per atom
E_tot: -109.34 eV per cell


Below is a geometry-optimized PrSb2Pd4 structure, with properties calculated at the PBE level.

Lattice parameters (Å, degrees): 8.042 8.042 4.345 90.00 90.00 90.00
Space group P4_2/mnm (No. 136)
One atom of each set of equivalent atoms:
Pr: 0.000 0.000 0.000 (multiplicity 2)
Sb: 0.218 0.218 0.500 (multiplicity 4)
Pd: 0.094 0.649 0.500 (multiplicity 8)

Output
raw formation energy: -719 meV/atom
magnetic moment: 0.00 Bohr magnetons per cell
E_tot: -77.65 eV per cell


Below is a geometry-optimized Pr2Sb2Pd3 structure, with properties calculated at the PBE level.

Lattice parameters (Å, degrees): 11.223 4.351 7.169 90.00 113.78 90.00
Space group C2/m (No. 12)
One atom of each set of equivalent atoms:
Pr: 0.135 0.000 0.253 (multiplicity 4)
Sb: 0.149 0.000 0.729 (multiplicity 4)
Pd: 0.000 0.500 0.500 (multiplicity 2)
Pd: 0.106 0.500 0.933 (multiplicity 4)

Output
raw formation energy: -875 meV/atom
magnetic moment: 0.00 Bohr magnetons per cell
E_tot: -79.01 eV per cell


Below is a geometry-optimized PrSbPd2 structure, with properties calculated at the PBE level.

Lattice parameters (Å, degrees): 3.769 4.432 5.676 90.00 90.00 90.00
Space group Pmmm (No. 47)
One atom of each set of equivalent atoms:
Pr: 0.000 0.000 0.000 (multiplicity 1)
Sb: 0.500 0.000 0.500 (multiplicity 1)
Pd: 0.500 0.500 0.239 (multiplicity 2)

Output
raw formation energy: -670 meV/atom
magnetic moment: 0.00 Bohr magnetons per cell
E_tot: -21.97 eV per cell


Below is a geometry-optimized Pr3Sb4Pd7 structure, with properties calculated at the PBE level.

Lattice parameters (Å, degrees): 16.673 4.480 10.011 90.00 126.77 90.00
Space group C2/m (No. 12)
One atom of each set of equivalent atoms:
Pr: 0.000 0.000 0.000 (multiplicity 2)
Pr: 0.175 0.500 0.685 (multiplicity 4)
Sb: 0.115 0.000 0.393 (multiplicity 4)
Sb: 0.167 0.500 0.047 (multiplicity 4)
Pd: 0.000 0.000 0.500 (multiplicity 2)
Pd: 0.003 0.500 0.716 (multiplicity 4)
Pd: 0.139 0.000 0.871 (multiplicity 4)
Pd: 0.189 0.500 0.338 (multiplicity 4)

Output
raw formation energy: -863 meV/atom
magnetic moment: 0.00 Bohr magnetons per cell
E_tot: -158.53 eV per cell


Below is a geometry-optimized PrSb2Pd6 structure, with properties calculated at the PBE level.

Lattice parameters (Å, degrees): 5.6684 5.6684 7.0057 90.00 90.00 120.00
Space group P6/mmm (No. 191)
One atom of each set of equivalent atoms:
Pr: 0.0000 0.0000 0.0000 (multiplicity 1)
Sb: 0.3333 0.6667 0.5000 (multiplicity 2)
Pd: 0.0000 0.5000 0.1968 (multiplicity 6)

Output
raw formation energy: -447 meV/atom
magnetic moment: 0.00 Bohr magnetons per cell
distance to the lowest polymorph of the same formula: 0.023 eV per atom
E_tot: -48.20 eV per cell